Below is an optimized crystal structure of Mg2MnIO, with properties calculated at the PBE+U level.

a b c (Å): 4.081 4.081 6.774
angles (deg): 90.00 90.00 90.00
Positions (direct):
Mg 0.000 0.500 0.000
Mg 0.500 0.000 0.000
Mn 0.000 0.000 0.500
I 0.500 0.500 0.500
O 0.500 0.500 0.000

## Properties
density: 3628 kg/m3
symmetry: No. 123
V: 22.56 Å³/atom
DFT total energy: -20.17 eV per cell